Entry from the Alexandria database: a geometry-optimized Ta2BO structure (PBE).

a b c (Å): 4.0232 4.0232 4.0232
angles (deg): 60.00 60.00 60.00
Positions (direct):
Ta  0.2500  0.2500  0.2500
Ta  0.7500  0.7500  0.7500
B  0.0000  0.0000  0.0000
O  0.5000  0.5000  0.5000

Output
For the magnetization, the calculation gives 0.00 μB per formula unit. Its total energy is -9.34 eV/atom.

Entry from the Alexandria database: a geometry-optimized TaBO4 structure (PBE).

a b c (Å): 4.3538 4.3538 7.8567
angles (deg): 90.00 90.00 90.00
Positions (direct):
Ta  0.0000  0.5000  0.2500
Ta  0.5000  0.0000  0.7500
B  0.0000  0.0000  0.0000
B  0.0000  0.0000  0.5000
O  0.1920  0.2174  0.3958
O  0.1920  0.7826  0.1042
O  0.2174  0.1920  0.8958
O  0.2174  0.8080  0.6042
O  0.7826  0.1920  0.6042
O  0.7826  0.8080  0.8958
O  0.8080  0.2174  0.1042
O  0.8080  0.7826  0.3958

Output
For the magnetization, the calculation gives 0.00 μB per formula unit. Its total energy is -8.70 eV/atom.

Entry from the Alexandria database: a geometry-optimized TaB2O6 structure (PBE).

a b c (Å): 6.3760 6.3760 4.8433
angles (deg): 103.69 103.69 86.39
Positions (direct):
Ta  0.1319  0.8681  0.7500
Ta  0.8681  0.1319  0.2500
B  0.2251  0.3703  0.7644
B  0.3703  0.2251  0.2644
B  0.6297  0.7749  0.7356
B  0.7749  0.6297  0.2356
O  0.0600  0.1907  0.6494
O  0.1254  0.5870  0.7961
O  0.1907  0.0600  0.1494
O  0.3537  0.3564  0.0495
O  0.3564  0.3537  0.5495
O  0.4130  0.8746  0.7039
O  0.5870  0.1254  0.2961
O  0.6436  0.6463  0.4505
O  0.6463  0.6436  0.9505
O  0.8093  0.9400  0.8506
O  0.8746  0.4130  0.2039
O  0.9400  0.8093  0.3506

Output
For the magnetization, the calculation gives 1.03 μB per formula unit. Its total energy is -8.36 eV/atom.

Entry from the Alexandria database: a geometry-optimized Ta2BO structure (PBE).

a b c (Å): 6.0261 6.0261 6.0261
angles (deg): 132.98 132.98 68.68
Positions (direct):
Ta  0.1198  0.6250  0.9948
Ta  0.3750  0.3698  0.4948
Ta  0.6302  0.1250  0.0052
Ta  0.8750  0.8802  0.5052
B  0.2500  0.7500  0.5000
B  0.5000  0.5000  0.0000
O  0.0000  0.0000  0.0000
O  0.7500  0.2500  0.5000

Output
For the magnetization, the calculation gives 0.00 μB per formula unit. Its total energy is -9.41 eV/atom.

Entry from the Alexandria database: a geometry-optimized TaTlB2O6 structure (PBE).

a b c (Å): 6.7345 6.7345 6.7345
angles (deg): 44.93 44.93 44.93
Positions (direct):
Ta  0.0000  0.0000  0.0000
Tl  0.5000  0.5000  0.5000
B  0.2706  0.2706  0.2706
B  0.7294  0.7294  0.7294
O  0.0776  0.5756  0.1553
O  0.1553  0.0776  0.5756
O  0.4244  0.8447  0.9224
O  0.5756  0.1553  0.0776
O  0.8447  0.9224  0.4244
O  0.9224  0.4244  0.8447

Output
For the magnetization, the calculation gives 0.00 μB per formula unit. Its total energy is -8.10 eV/atom.

Entry from the Alexandria database: a geometry-optimized TaTl2B2O6 structure (PBE).

a b c (Å): 7.9349 7.9349 7.9349
angles (deg): 38.20 38.20 38.20
Positions (direct):
Ta  0.0000  0.0000  0.0000
Tl  0.1804  0.1804  0.1804
Tl  0.8196  0.8196  0.8196
B  0.3854  0.3854  0.3854
B  0.6146  0.6146  0.6146
O  0.2325  0.2325  0.6931
O  0.2325  0.6931  0.2325
O  0.3069  0.7675  0.7675
O  0.6931  0.2325  0.2325
O  0.7675  0.3069  0.7675
O  0.7675  0.7675  0.3069

Output
For the magnetization, the calculation gives 0.00 μB per formula unit. Its total energy is -7.48 eV/atom.

Entry from the Alexandria database: a geometry-optimized TbB2O4 structure (PBE).

a b c (Å): 5.1866 5.1866 5.1866
angles (deg): 98.78 98.78 134.00
Positions (direct):
Tb  0.0000  0.0000  0.0000
B  0.2500  0.7500  0.5000
B  0.7500  0.2500  0.5000
O  0.0032  0.6612  0.6644
O  0.3388  0.0032  0.3420
O  0.6612  0.9968  0.6580
O  0.9968  0.3388  0.3356

Output
For the magnetization, the calculation gives 0.00 μB per formula unit. Its total energy is -7.87 eV/atom.

Entry from the Alexandria database: a geometry-optimized Tb3BO6 structure (PBE).

a b c (Å): 7.0677 7.0677 5.1908
angles (deg): 90.00 90.00 102.94
Positions (direct):
Tb  0.1051  0.8949  0.5000
Tb  0.1998  0.4182  0.4543
Tb  0.4182  0.1998  0.9543
Tb  0.5818  0.8002  0.4543
Tb  0.8002  0.5818  0.9543
Tb  0.8949  0.1051  0.0000
B  0.3066  0.6934  0.9023
B  0.6934  0.3066  0.4023
O  0.1074  0.6169  0.7796
O  0.1471  0.1731  0.7229
O  0.1731  0.1471  0.2229
O  0.2959  0.7041  0.1925
O  0.3831  0.8926  0.7796
O  0.4358  0.5642  0.7981
O  0.5642  0.4358  0.2981
O  0.6169  0.1074  0.2796
O  0.7041  0.2959  0.6925
O  0.8269  0.8529  0.7229
O  0.8529  0.8269  0.2229
O  0.8926  0.3831  0.2796

Output
For the magnetization, the calculation gives 0.00 μB per formula unit. Its total energy is -8.30 eV/atom.

Entry from the Alexandria database: a geometry-optimized TbB2O4 structure (PBE).

a b c (Å): 10.5706 10.5706 10.5706
angles (deg): 15.08 15.08 15.08
Positions (direct):
Tb  0.0000  0.0000  0.0000
B  0.2368  0.2368  0.2368
B  0.7632  0.7632  0.7632
O  0.1130  0.1130  0.1130
O  0.2807  0.2807  0.2807
O  0.7193  0.7193  0.7193
O  0.8870  0.8870  0.8870

Output
For the magnetization, the calculation gives 0.00 μB per formula unit. Its total energy is -7.28 eV/atom.

Entry from the Alexandria database: a geometry-optimized TbBO structure (PBE).

a b c (Å): 7.9620 7.7819 3.3022
angles (deg): 80.97 74.85 24.18
Positions (direct):
Tb  0.1439  0.1439  0.8561
Tb  0.8561  0.8561  0.1439
B  0.3423  0.6577  0.3423
B  0.6577  0.3423  0.6577
O  0.3059  0.3059  0.6941
O  0.6941  0.6941  0.3059

Output
For the magnetization, the calculation gives 0.00 μB per formula unit. Its total energy is -7.04 eV/atom.

Entry from the Alexandria database: a geometry-optimized Tb2B2O7 structure (PBE).

a b c (Å): 5.6084 5.6084 4.7170
angles (deg): 103.07 103.07 106.55
Positions (direct):
Tb  0.2008  0.7992  0.0000
Tb  0.7992  0.2008  0.0000
B  0.2462  0.2462  0.6352
B  0.7538  0.7538  0.3648
O  0.1025  0.3724  0.7768
O  0.1874  0.1874  0.3134
O  0.3724  0.1025  0.7768
O  0.5000  0.5000  0.5000
O  0.6276  0.8975  0.2232
O  0.8126  0.8126  0.6866
O  0.8975  0.6276  0.2232

Output
For the magnetization, the calculation gives 0.03 μB per formula unit. Its total energy is -7.77 eV/atom.

Entry from the Alexandria database: a geometry-optimized TbB4O7 structure (PBE).

a b c (Å): 11.1895 4.5892 4.2083
angles (deg): 90.00 90.00 90.00
Positions (direct):
Tb  0.0000  0.1663  0.0000
Tb  0.5000  0.8337  0.5000
B  0.1222  0.6671  0.3520
B  0.2413  0.8228  0.8167
B  0.2587  0.1772  0.3167
B  0.3778  0.3329  0.8520
B  0.6222  0.3329  0.8520
B  0.7413  0.1772  0.3167
B  0.7587  0.8228  0.8167
B  0.8778  0.6671  0.3520
O  0.0000  0.6930  0.2168
O  0.1292  0.7541  0.6744
O  0.1634  0.3809  0.2601
O  0.2091  0.8924  0.1610
O  0.2909  0.1076  0.6610
O  0.3366  0.6191  0.7601
O  0.3708  0.2459  0.1744
O  0.5000  0.3070  0.7168
O  0.6292  0.2459  0.1744
O  0.6634  0.6191  0.7601
O  0.7091  0.1076  0.6610
O  0.7909  0.8924  0.1610
O  0.8366  0.3809  0.2601
O  0.8708  0.7541  0.6744

Output
For the magnetization, the calculation gives 0.21 μB per formula unit. Its total energy is -7.90 eV/atom.

Entry from the Alexandria database: a geometry-optimized Tb2BO4 structure (PBE).

a b c (Å): 7.6145 7.6145 7.6145
angles (deg): 150.92 150.92 41.59
Positions (direct):
Tb  0.1690  0.1690  0.0000
Tb  0.8310  0.8310  0.0000
B  0.5000  0.5000  0.0000
O  0.2500  0.7500  0.5000
O  0.4095  0.4095  0.0000
O  0.5905  0.5905  0.0000
O  0.7500  0.2500  0.5000

Output
For the magnetization, the calculation gives 0.00 μB per formula unit. Its total energy is -7.92 eV/atom.

Entry from the Alexandria database: a geometry-optimized Tb2BO5 structure (PBE).

a b c (Å): 6.9254 6.9254 10.3274
angles (deg): 90.00 90.00 144.16
Positions (direct):
Tb  0.1427  0.8573  0.5290
Tb  0.1427  0.8573  0.9710
Tb  0.8573  0.1427  0.0290
Tb  0.8573  0.1427  0.4710
B  0.0182  0.9818  0.7500
B  0.9818  0.0182  0.2500
O  0.0279  0.9721  0.1312
O  0.0279  0.9721  0.3688
O  0.1245  0.8755  0.7500
O  0.3125  0.6875  0.0029
O  0.3125  0.6875  0.4971
O  0.6875  0.3125  0.5029
O  0.6875  0.3125  0.9971
O  0.8755  0.1245  0.2500
O  0.9721  0.0279  0.6312
O  0.9721  0.0279  0.8688

Output
For the magnetization, the calculation gives 1.03 μB per formula unit. Its total energy is -7.95 eV/atom.

Entry from the Alexandria database: a geometry-optimized TbBO structure (PBE).

a b c (Å): 7.6514 3.1863 6.6099
angles (deg): 90.00 102.47 90.00
Positions (direct):
Tb  0.1987  0.2495  0.4247
Tb  0.1987  0.2505  0.9247
Tb  0.8013  0.7495  0.0753
Tb  0.8013  0.7505  0.5753
B  0.5001  0.0026  0.7502
B  0.5001  0.4974  0.2502
B  0.4999  0.5026  0.7498
B  0.4999  0.9974  0.2498
O  0.1162  0.7500  0.1541
O  0.1162  0.7500  0.6541
O  0.8838  0.2500  0.3459
O  0.8838  0.2500  0.8459

Output
For the magnetization, the calculation gives 0.00 μB per formula unit. Its total energy is -7.29 eV/atom.

Entry from the Alexandria database: a geometry-optimized TbThB2O8 structure (PBE).

a b c (Å): 6.6536 6.6536 6.6536
angles (deg): 138.35 138.35 60.37
Positions (direct):
Tb  0.0000  0.0000  0.0000
Th  0.7500  0.2500  0.5000
B  0.2500  0.7500  0.5000
B  0.5000  0.5000  0.0000
O  0.0749  0.7227  0.1583
O  0.0835  0.9251  0.6478
O  0.1889  0.3256  0.6508
O  0.2773  0.4356  0.3522
O  0.4619  0.8111  0.1367
O  0.5644  0.9165  0.8417
O  0.6744  0.3252  0.8633
O  0.6748  0.5381  0.3492

Output
For the magnetization, the calculation gives 3.03 μB per formula unit. Its total energy is -7.90 eV/atom.

Entry from the Alexandria database: a geometry-optimized TbTiBO5 structure (PBE).

a b c (Å): 5.2810 5.2810 6.8466
angles (deg): 103.12 103.12 106.61
Positions (direct):
Tb  0.1584  0.8416  0.7500
Tb  0.8416  0.1584  0.2500
Ti  0.5000  0.5000  0.0000
Ti  0.5000  0.5000  0.5000
B  0.1812  0.8188  0.2500
B  0.8188  0.1812  0.7500
O  0.1000  0.2441  0.9078
O  0.1780  0.6159  0.3732
O  0.2441  0.1000  0.4078
O  0.3841  0.8220  0.1268
O  0.4189  0.5811  0.7500
O  0.5811  0.4189  0.2500
O  0.6159  0.1780  0.8732
O  0.7559  0.9000  0.5922
O  0.8220  0.3841  0.6268
O  0.9000  0.7559  0.0922

Output
For the magnetization, the calculation gives 0.00 μB per formula unit. Its total energy is -8.50 eV/atom.

Entry from the Alexandria database: a geometry-optimized TbTl2B2O6 structure (PBE).

a b c (Å): 5.5012 5.5012 6.8519
angles (deg): 113.81 113.81 60.00
Positions (direct):
Tb  0.0000  0.0000  0.0000
Tl  0.2138  0.2138  0.6427
Tl  0.7862  0.7862  0.3573
B  0.4117  0.4117  0.2332
B  0.5883  0.5883  0.7668
O  0.2655  0.2655  0.2310
O  0.2659  0.7024  0.2321
O  0.2976  0.7341  0.7679
O  0.7024  0.2659  0.2321
O  0.7341  0.2976  0.7679
O  0.7345  0.7345  0.7690

Output
For the magnetization, the calculation gives 0.00 μB per formula unit. Its total energy is -6.88 eV/atom.

Entry from the Alexandria database: a geometry-optimized TbUB2O8 structure (PBE).

a b c (Å): 6.4169 6.4169 6.4169
angles (deg): 137.51 137.51 61.66
Positions (direct):
Tb  0.0000  0.0000  0.0000
U  0.2500  0.7500  0.5000
B  0.5000  0.5000  0.0000
B  0.7500  0.2500  0.5000
O  0.3073  0.6666  0.1220
O  0.3334  0.4554  0.6408
O  0.4404  0.0441  0.1147
O  0.5446  0.1853  0.8780
O  0.6743  0.5596  0.6037
O  0.8147  0.6927  0.3592
O  0.9294  0.3257  0.8853
O  0.9559  0.0706  0.3963

Output
For the magnetization, the calculation gives 1.07 μB per formula unit. Its total energy is -8.30 eV/atom.

Entry from the Alexandria database: a geometry-optimized TbZn2B2O6 structure (PBE).

a b c (Å): 5.0136 5.0136 7.1150
angles (deg): 90.00 90.00 120.00
Positions (direct):
Tb  0.0000  0.0000  0.0000
Zn  0.3333  0.6667  0.3088
Zn  0.6667  0.3333  0.6912
B  0.3333  0.6667  0.7963
B  0.6667  0.3333  0.2037
O  0.0578  0.6684  0.8014
O  0.3316  0.3894  0.8014
O  0.3894  0.0578  0.1986
O  0.6106  0.9422  0.8014
O  0.6684  0.6106  0.1986
O  0.9422  0.3316  0.1986

Output
For the magnetization, the calculation gives 0.30 μB per formula unit. Its total energy is -6.75 eV/atom.

Number 1: ΔE_f (raw) -509 meV per atom. Number 2: ΔE_f (raw) -2305 meV per atom. Number 3: ΔE_f (raw) -2256 meV per atom. Number 4: ΔE_f (raw) -572 meV per atom. Number 5: ΔE_f (raw) -2364 meV per atom. Number 6: ΔE_f (raw) -2053 meV per atom. Number 7: ΔE_f (raw) -2472 meV per atom. Number 8: ΔE_f (raw) -3269 meV per atom. Number 9: ΔE_f (raw) -1881 meV per atom. Number 10: ΔE_f (raw) -1618 meV per atom. Number 11: ΔE_f (raw) -2559 meV per atom. Number 12: ΔE_f (raw) -2396 meV per atom. Number 13: ΔE_f (raw) -2811 meV per atom. Number 14: ΔE_f (raw) -2857 meV per atom. Number 15: ΔE_f (raw) -1867 meV per atom. Number 16: ΔE_f (raw) -2475 meV per atom. Number 17: ΔE_f (raw) -3002 meV per atom. Number 18: ΔE_f (raw) -2107 meV per atom. Number 19: ΔE_f (raw) -2558 meV per atom. Number 20: ΔE_f (raw) -2178 meV per atom.